## P
Below is LaCdB3 after structural relaxation, with properties calculated at the PBE-GGA level.

Symmetry = Pm-3m, No. 221

Unit cell a=4.794 b=4.794 c=4.794 alpha=90.00 beta=90.00 gamma=90.00
Fractional positions:
1 La 0.000 0.000 0.000
2 Cd 0.500 0.500 0.500
3 B 0.000 0.000 0.500
4 B 0.000 0.500 0.000
5 B 0.500 0.000 0.000

---

## Q
Below is LaCdB3 after structural relaxation, with properties calculated at the PBE-GGA level.

Symmetry = Pm-3m, No. 221

Unit cell a=4.425 b=4.425 c=4.425 alpha=90.00 beta=90.00 gamma=90.00
Fractional positions:
1 La 0.000 0.000 0.000
2 Cd 0.500 0.500 0.500
3 B 0.000 0.500 0.500
4 B 0.500 0.000 0.500
5 B 0.500 0.500 0.000

---

Q: What are the energies relative to the best structure? A: P 0.830; Q 0.000, in eV/atom.